1.
Here is a relaxed structure of CdIn2Pb6 from the Alexandria database. Energies are from GGA-PBE.

POSCAR file:
```
CdIn2Pb6
1.0
-1.580 2.255 5.759
-7.400 -5.579 -0.934
5.890 -6.523 3.082
Cd In Pb
2 4 12
Cartesian
-6.681 -5.094 0.842 Cd
3.591 -4.753 7.065 Cd
-0.908 -4.326 1.408 In
-1.710 -6.626 3.523 In
-2.182 -5.521 6.499 In
-1.379 -3.221 4.384 In
1.215 -5.451 4.895 Pb
0.527 -3.668 7.591 Pb
-4.305 -4.396 3.012 Pb
-3.617 -6.179 0.317 Pb
-4.539 -7.387 5.050 Pb
-3.878 -1.011 4.365 Pb
1.449 -2.461 2.857 Pb
0.789 -8.836 3.542 Pb
-1.947 -1.092 1.419 Pb
-2.981 -9.696 2.815 Pb
-1.143 -8.755 6.489 Pb
-0.109 -0.151 5.092 Pb
```

Energy of formation from the pure elements: 0.4 eV per formula unit
ΔE to the lowest computed polymorph: 0.000 eV per atom
Density of states at the Fermi level: 8.3 states/eV/cell

---

2.
Here is a relaxed structure of CdIn2Pb6 from the Alexandria database. Energies are from GGA-PBE.

POSCAR file:
```
CdIn2Pb6
1.0
-0.803 -0.639 3.267
0.970 -2.560 -2.057
25.616 4.016 7.082
Cd In Pb
1 2 6
Cartesian
0.379 -1.920 -0.283 Cd
8.165 0.034 3.808 In
17.027 1.423 6.258 In
22.743 2.319 7.838 Pb
11.577 -0.164 2.813 Pb
20.435 1.225 5.262 Pb
5.939 -1.048 1.255 Pb
14.797 0.341 3.704 Pb
2.449 -0.862 2.228 Pb
```

Energy of formation from the pure elements: 0.5 eV per formula unit
ΔE to the lowest computed polymorph: 0.010 eV per atom
Density of states at the Fermi level: 5.8 states/eV/cell

---

3.
Here is a relaxed structure of Cd4InPb15 from the Alexandria database. Energies are from GGA-PBE.

POSCAR file:
```
Cd4InPb15
1.0
-2.642 -2.821 2.997
4.001 -2.597 1.082
4.957 15.562 19.018
Cd In Pb
4 1 15
Cartesian
0.996 3.127 3.821 Cd
1.985 6.232 7.616 Cd
2.972 9.330 11.402 Cd
3.961 12.435 15.197 Cd
0.000 0.000 0.000 In
0.679 -2.709 2.040 Pb
1.676 0.421 5.865 Pb
2.663 3.519 9.651 Pb
3.652 6.624 13.447 Pb
4.639 9.722 17.233 Pb
-0.813 0.184 3.447 Pb
0.173 3.280 7.231 Pb
1.157 6.370 11.008 Pb
2.141 9.460 14.784 Pb
3.128 12.556 18.568 Pb
2.508 0.296 2.490 Pb
3.495 3.392 6.274 Pb
4.479 6.482 10.050 Pb
5.463 9.572 13.827 Pb
6.449 12.668 17.611 Pb
```

Energy of formation from the pure elements: 0.5 eV per formula unit
Density of states at the Fermi level: 5.3 states/eV/cell

---

4.
Here is a relaxed structure of Cd3In3Pb from the Alexandria database. Energies are from GGA-PBE.

POSCAR file:
```
Cd3In3Pb
1.0
-1.775 4.004 1.793
-8.890 -3.009 -2.083
3.906 -2.089 8.533
Cd In Pb
6 6 2
Cartesian
0.880 0.563 8.985 Cd
-4.930 -1.073 6.886 Cd
-5.737 -3.427 5.096 Cd
-1.024 2.333 3.146 Cd
-1.830 -0.020 1.357 Cd
-7.640 -1.657 -0.742 Cd
-3.861 0.884 3.573 In
-7.380 -0.929 4.139 In
-0.131 -2.042 7.554 In
-6.629 0.948 0.688 In
0.620 -0.164 4.104 In
-2.899 -1.978 4.669 In
-5.069 -1.701 1.904 Pb
-1.691 0.608 6.339 Pb
```

Energy of formation from the pure elements: 0.4 eV per formula unit
ΔE to the lowest computed polymorph: 0.000 eV per atom
Density of states at the Fermi level: 4.6 states/eV/cell